P:
{
  "formula": "La7Nd2Sm",
  "functional": "PBE",
  "state": "relaxed",
  "lattice": [[-1.576, 3.210, -0.102], [0.222, -0.229, -10.582], [-9.034, -4.325, 3.429]],
  "species": ["La", "La", "La", "La", "La", "La", "La", "Nd", "Nd", "Sm"],
  "fractional_positions": [[0.000, 0.320, 0.680], [0.500, 0.500, 0.500], [0.500, 0.126, 0.385], [0.500, 0.874, 0.615], [0.000, 0.680, 0.320], [0.500, 0.385, 0.126], [0.500, 0.615, 0.874], [0.500, 0.832, 0.168], [0.500, 0.168, 0.832], [0.000, 0.000, 0.000]],
  "sg": "No. 65",
  "mass_density_g_cm3": 6.20,
  "total_magnetization_mub_per_cell": 0.0
}


Q:
{
  "formula": "La7Nd2Sm",
  "functional": "PBE",
  "state": "relaxed",
  "lattice": [[5.669, 0.000, 0.000], [0.000, 9.336, -0.412], [0.000, -4.580, 8.146]],
  "species": ["La", "La", "La", "La", "La", "La", "La", "Nd", "Nd", "Sm"],
  "fractional_positions": [[0.500, 0.928, 0.699], [0.000, 0.759, 0.241], [0.500, 0.500, 0.500], [0.500, 0.699, 0.928], [0.000, 0.241, 0.759], [0.500, 0.072, 0.301], [0.500, 0.301, 0.072], [0.500, 0.300, 0.700], [0.500, 0.700, 0.300], [0.000, 0.000, 0.000]],
  "sg": "No. 65",
  "mass_density_g_cm3": 5.57,
  "total_magnetization_mub_per_cell": 0.6
}


Relative to the most stable structure, the computed energies are P 0.000; Q 0.240, all in eV/atom.


P:
{
  "formula": "LaNd2Sm8",
  "functional": "PBE",
  "state": "relaxed",
  "lattice": [[-3.417, 4.183, -1.798], [-7.894, -6.460, 1.787], [-6.402, -2.711, 7.675]],
  "species": ["Sm", "Sm", "Sm", "Sm", "Sm", "Sm", "Sm", "Sm", "Nd", "Nd", "La"],
  "fractional_positions": [[0.761, 0.455, 0.455], [0.232, 0.187, 0.187], [0.732, 0.398, 0.864], [0.239, 0.545, 0.545], [0.268, 0.602, 0.136], [0.268, 0.136, 0.602], [0.768, 0.813, 0.813], [0.732, 0.864, 0.398], [0.745, 0.284, 0.284], [0.255, 0.716, 0.716], [0.000, 0.000, 0.000]],
  "sg": "No. 12",
  "mass_density_g_cm3": 6.87,
  "total_magnetization_mub_per_cell": 0.0
}


Q:
{
  "formula": "LaNd2Sm8",
  "functional": "PBE",
  "state": "relaxed",
  "lattice": [[-5.254, 0.028, -2.145], [2.824, -3.644, -6.966], [-0.151, -5.464, 7.806]],
  "species": ["Sm", "Sm", "Sm", "Sm", "Sm", "Sm", "Sm", "Sm", "Nd", "Nd", "La"],
  "fractional_positions": [[0.361, 0.156, 0.723], [0.839, 0.839, 0.679], [0.639, 0.434, 0.277], [0.361, 0.566, 0.723], [0.000, 0.705, 0.000], [0.000, 0.295, 0.000], [0.639, 0.844, 0.277], [0.161, 0.161, 0.321], [0.800, 0.300, 0.600], [0.200, 0.700, 0.400], [0.500, 0.000, 0.000]],
  "sg": "No. 71",
  "mass_density_g_cm3": 7.07,
  "total_magnetization_mub_per_cell": 0.0
}


Relative to the most stable structure, the computed energies are P 0.035; Q 0.000, all in eV/atom.


P:
{
  "formula": "LaNdSm2",
  "functional": "PBE",
  "state": "relaxed",
  "lattice": [[3.682, 0.000, 0.000], [1.841, 3.189, 0.000], [1.841, 1.063, 11.965]],
  "species": ["La", "Nd", "Sm", "Sm"],
  "fractional_positions": [[0.500, 0.500, 0.499], [0.667, 0.667, 0.000], [0.082, 0.082, 0.754], [0.251, 0.251, 0.246]],
  "sg": "No. 160",
  "mass_density_g_cm3": 6.90,
  "total_magnetization_mub_per_cell": 0.0
}


Q:
{
  "formula": "LaNdSm2",
  "functional": "PBE",
  "state": "relaxed",
  "lattice": [[-0.838, -5.634, 1.281], [3.635, -4.047, -2.119], [3.697, -2.762, 3.575]],
  "species": ["Nd", "Sm", "Sm", "La"],
  "fractional_positions": [[0.500, 0.500, 0.500], [0.250, 0.250, 0.250], [0.750, 0.750, 0.750], [0.000, 0.000, 0.000]],
  "sg": "No. 225",
  "mass_density_g_cm3": 6.89,
  "total_magnetization_mub_per_cell": 0.0
}


R:
{
  "formula": "LaNdSm2",
  "functional": "PBE",
  "state": "relaxed",
  "lattice": [[3.692, 0.000, 0.000], [1.846, 3.198, 0.000], [0.000, 0.000, 11.816]],
  "species": ["Sm", "Sm", "Nd", "La"],
  "fractional_positions": [[0.333, 0.333, 0.749], [0.667, 0.667, 0.251], [0.000, 0.000, 0.500], [0.000, 0.000, 0.000]],
  "sg": "No. 164",
  "mass_density_g_cm3": 6.95,
  "total_magnetization_mub_per_cell": 0.0
}


S:
{
  "formula": "LaNdSm2",
  "functional": "PBE",
  "state": "relaxed",
  "lattice": [[3.676, 0.000, 0.000], [1.838, 3.184, 0.000], [1.838, 1.061, 11.951]],
  "species": ["Nd", "Sm", "Sm", "La"],
  "fractional_positions": [[0.500, 0.500, 0.500], [0.249, 0.249, 0.252], [0.751, 0.751, 0.748], [0.000, 0.000, 0.000]],
  "sg": "No. 166",
  "mass_density_g_cm3": 6.93,
  "total_magnetization_mub_per_cell": 0.0
}


Relative to the most stable structure, the computed energies are P 0.024; Q 0.130; R 0.000; S 0.017, all in eV/atom.


P:
{
  "formula": "La5NdSm4",
  "functional": "PBE",
  "state": "relaxed",
  "lattice": [[-0.289, 3.661, 0.029], [-7.920, -0.561, -8.140], [-5.897, 1.332, 6.660]],
  "species": ["Sm", "Sm", "Sm", "Sm", "La", "La", "La", "La", "La", "Nd"],
  "fractional_positions": [[0.962, 0.253, 0.076], [0.038, 0.747, 0.924], [0.177, 0.939, 0.648], [0.823, 0.061, 0.352], [0.700, 0.629, 0.601], [0.500, 0.500, 0.000], [0.300, 0.371, 0.399], [0.643, 0.236, 0.718], [0.357, 0.764, 0.282], [0.500, 0.000, 0.000]],
  "sg": "No. 2",
  "mass_density_g_cm3": 6.53,
  "total_magnetization_mub_per_cell": 0.0
}


Q:
{
  "formula": "La5NdSm4",
  "functional": "PBE",
  "state": "relaxed",
  "lattice": [[3.721, 0.000, 0.000], [0.000, 3.721, 0.000], [0.000, 0.000, 25.781]],
  "species": ["La", "La", "La", "La", "La", "Sm", "Sm", "Sm", "Sm", "Nd"],
  "fractional_positions": [[0.500, 0.500, 0.699], [0.500, 0.500, 0.101], [0.500, 0.500, 0.500], [0.500, 0.500, 0.301], [0.500, 0.500, 0.899], [0.000, 0.000, 0.600], [0.000, 0.000, 0.201], [0.000, 0.000, 0.400], [0.000, 0.000, 0.799], [0.000, 0.000, 0.000]],
  "sg": "No. 123",
  "mass_density_g_cm3": 6.70,
  "total_magnetization_mub_per_cell": 0.0
}


Relative to the most stable structure, the computed energies are P 0.098; Q 0.000, all in eV/atom.


P:
{
  "formula": "La7NdSm4",
  "functional": "PBE",
  "state": "relaxed",
  "lattice": [[6.154, 0.000, 0.000], [3.077, 9.258, 1.917], [3.077, 1.939, 8.075]],
  "species": ["Sm", "Sm", "Sm", "Sm", "La", "La", "La", "La", "La", "La", "La", "Nd"],
  "fractional_positions": [[0.328, 0.395, 0.949], [0.427, 0.698, 0.448], [0.573, 0.302, 0.552], [0.672, 0.605, 0.051], [0.791, 0.876, 0.542], [0.792, 0.220, 0.195], [0.082, 0.562, 0.273], [0.208, 0.780, 0.805], [0.500, 0.000, 0.000], [0.209, 0.124, 0.458], [0.918, 0.438, 0.727], [0.000, 0.000, 0.000]],
  "sg": "No. 12",
  "mass_density_g_cm3": 6.53,
  "total_magnetization_mub_per_cell": 0.5
}


Q:
{
  "formula": "La7NdSm4",
  "functional": "PBE",
  "state": "relaxed",
  "lattice": [[7.144, 1.832, 0.905], [5.396, 7.849, 2.549], [-1.025, -0.485, 9.137]],
  "species": ["Sm", "Sm", "Sm", "Sm", "La", "La", "La", "La", "La", "La", "La", "Nd"],
  "fractional_positions": [[0.719, 0.780, 0.667], [0.281, 0.220, 0.333], [0.470, 0.278, 0.669], [0.530, 0.722, 0.331], [0.779, 0.221, 0.333], [0.970, 0.281, 0.666], [0.030, 0.719, 0.334], [0.753, 0.499, 0.001], [0.247, 0.501, 0.999], [0.500, 0.000, 0.000], [0.221, 0.779, 0.667], [0.000, 0.000, 0.000]],
  "sg": "No. 2",
  "mass_density_g_cm3": 6.62,
  "total_magnetization_mub_per_cell": 0.0
}


Relative to the most stable structure, the computed energies are P 0.172; Q 0.000, all in eV/atom.


P:
{
  "formula": "La6Nd3Sm",
  "functional": "PBE",
  "state": "relaxed",
  "lattice": [[-1.420, -5.686, -3.752], [2.414, -7.389, 10.283], [-4.055, 5.720, -0.681]],
  "species": ["Sm", "La", "La", "La", "La", "La", "La", "Nd", "Nd", "Nd"],
  "fractional_positions": [[0.500, 0.500, 0.000], [0.326, 0.025, 0.652], [0.674, 0.975, 0.348], [0.289, 0.324, 0.134], [0.845, 0.324, 0.134], [0.155, 0.676, 0.866], [0.711, 0.676, 0.866], [0.207, 0.684, 0.413], [0.793, 0.316, 0.587], [0.000, 0.000, 0.000]],
  "sg": "No. 12",
  "mass_density_g_cm3": 6.45,
  "total_magnetization_mub_per_cell": 0.0
}


Q:
{
  "formula": "La6Nd3Sm",
  "functional": "PBE",
  "state": "relaxed",
  "lattice": [[6.623, 0.000, 0.000], [0.000, 11.149, -1.835], [0.000, -4.277, 10.459]],
  "species": ["La", "La", "La", "La", "La", "La", "La", "La", "La", "La", "La", "La", "Nd", "Nd", "Nd", "Nd", "Nd", "Nd", "Sm", "Sm"],
  "fractional_positions": [[0.556, 0.633, 0.712], [0.852, 0.031, 0.969], [0.874, 0.932, 0.517], [0.874, 0.483, 0.068], [0.056, 0.367, 0.288], [0.159, 0.718, 0.282], [0.352, 0.969, 0.031], [0.374, 0.068, 0.483], [0.659, 0.282, 0.718], [0.556, 0.288, 0.367], [0.374, 0.517, 0.932], [0.056, 0.712, 0.633], [0.086, 0.384, 0.616], [0.963, 0.704, 0.943], [0.463, 0.296, 0.057], [0.463, 0.943, 0.704], [0.963, 0.057, 0.296], [0.586, 0.616, 0.384], [0.601, 0.814, 0.186], [0.101, 0.186, 0.814]],
  "sg": "No. 36",
  "mass_density_g_cm3": 6.53,
  "total_magnetization_mub_per_cell": 0.0
}


Relative to the most stable structure, the computed energies are P 0.119; Q 0.000, all in eV/atom.